ZrZnFe3, relaxed, DFT PBE; space group = Pm-3m (221); energy relative to the elements = 0.824 eV/atom; DOS at the Fermi energy = 1.2567 states/eV per atom; energy above the lowest structure with this stoichiometry = 0 meV per atom
1.0
-1.395 -3.894 -1.527
-0.675 -1.379 4.133
-4.128 1.542 -0.160
Zn Fe Zr
1 3 1
direct
0.000 0.000 0.000 Zn
0.000 0.500 0.000 Fe
0.000 0.000 0.500 Fe
0.500 0.000 0.000 Fe
0.500 0.500 0.500 Zr